Compound: SiTe2
Source: Alexandria
Functional: PBE
Structure: relaxed

## Properties
For the spin magnetization, the calculation gives 0.00 μB/f.u. Its raw formation energy is 0.1394 eV/atom. For the uncorrected energy, the calculation gives -3.76 eV per atom.

a b c (Å): 6.3508 6.3508 7.9989
angles (deg): 75.41 75.41 35.04
Last column: nearest neighbours and their distance in Å.
Element x y z (fractional)
Te1 0.3537 0.3537 0.1146  3 Si 2.62-2.82
Te2 0.6463 0.6463 0.8854  3 Si 2.62-2.82
Te3 0.3821 0.3821 0.5897  2 Si 2.81, 1 Te 2.84
Te4 0.6179 0.6179 0.4103  2 Si 2.81, 1 Te 2.84
Si1 0.8671 0.8671 0.8516  5 Te 2.62-2.82
Si2 0.1329 0.1329 0.1484  5 Te 2.62-2.82

---

Compound: YCoAs2Se
Source: Alexandria
Functional: PBE
Structure: relaxed

## Properties
For the spin magnetization, the calculation gives 0.27 μB/f.u. Its raw formation energy is -0.3252 eV/atom. For the uncorrected energy, the calculation gives -5.60 eV per atom. The energy above the most stable polymorph in this dataset is 0.000 eV per formula unit.

a b c (Å): 4.4838 4.4838 5.1749
angles (deg): 90.00 90.00 90.00
Last column: nearest neighbours and their distance in Å.
Element x y z (fractional)
Se1 0.0000 0.0000 0.5000  2 Co 2.59
Y1 0.5000 0.5000 0.5000  4 Se 3.17, 8 As 3.42
As1 0.5000 0.0000 0.0000  2 Co 2.24
As2 0.0000 0.5000 0.0000  2 Co 2.24
Co1 0.0000 0.0000 0.0000  4 As 2.24

---

Compound: Ta3SiGe
Source: Alexandria
Functional: PBE
Structure: relaxed

## Properties
For the spin magnetization, the calculation gives 0.94 μB/f.u. Its raw formation energy is 0.9334 eV/atom. For the uncorrected energy, the calculation gives -8.19 eV per atom. The energy above the most stable polymorph in this dataset is 0.000 eV per formula unit.

a b c (Å): 4.6517 4.6517 4.6517
angles (deg): 90.00 90.00 90.00
Last column: nearest neighbours and their distance in Å.
Element x y z (fractional)
Ta1 0.0000 0.0000 0.5000  2 Si 2.33
Ta2 0.0000 0.5000 0.0000  2 Si 2.33
Ta3 0.5000 0.0000 0.0000  2 Si 2.33
Si1 0.0000 0.0000 0.0000  6 Ta 2.33
Ge1 0.5000 0.5000 0.5000  12 Ta 3.29

---

Compound: Y2ZrRh
Source: Alexandria
Functional: PBE
Structure: relaxed

## Properties
The value obtained for the formation energy is -0.28 eV per atom. For the spin magnetization, the calculation gives 0.00 μB/f.u. For the uncorrected energy, the calculation gives -7.49 eV per atom. The energy above the most stable polymorph in this dataset is 0.434 eV per formula unit.

a b c (Å): 6.0726 6.0726 6.0726
angles (deg): 145.68 130.18 61.89
Last column: nearest neighbours and their distance in Å.
Element x y z (fractional)
Y1 0.4566 0.4566 0.0000  2 Rh 2.80
Y2 0.0434 0.0434 0.0000  2 Rh 2.80
Rh1 0.2500 0.7500 0.5000  4 Y 2.80, 4 Zr 3.12
Zr1 0.7500 0.2500 0.5000  4 Rh 3.12, 4 Y 3.34

---

Compound: In2Te2S
Source: Alexandria
Functional: PBE
Structure: relaxed

## Properties
For the spin magnetization, the calculation gives 0.00 μB/f.u. Its raw formation energy is -0.3441 eV/atom. For the uncorrected energy, the calculation gives -3.52 eV per atom. The energy above the most stable polymorph in this dataset is 0.110 eV per formula unit.

a b c (Å): 7.9365 7.9365 8.7248
angles (deg): 117.05 117.05 90.00
Last column: nearest neighbours and their distance in Å.
Element x y z (fractional)
S1 0.3196 0.8196 0.6391  2 In 2.44
S2 0.0696 0.0696 0.1391  2 In 2.44
In1 0.4215 0.6658 0.8430  1 S 2.44
In2 0.9158 0.1715 0.3430  1 S 2.44
In3 0.4271 0.1715 0.3430  1 S 2.44
In4 0.4215 0.1771 0.8430  1 S 2.44
Te1 0.6341 0.8708 0.2681  3 In 2.84-2.89
Te2 0.1208 0.3841 0.7681  3 In 2.84-2.89
Te3 0.6341 0.3974 0.2681  3 In 2.84-2.89
Te4 0.6474 0.3841 0.7681  3 In 2.84-2.89

---

Compound: Tl10InHg6
Source: Alexandria
Functional: PBE
Structure: relaxed

## Properties
The value obtained for the formation energy is 0.02 eV per atom. For the spin magnetization, the calculation gives 0.00 μB/f.u. For the uncorrected energy, the calculation gives -1.64 eV per atom.

a b c (Å): 6.4790 9.5945 9.5945
angles (deg): 120.00 90.00 90.00
Last column: nearest neighbours and their distance in Å.
Element x y z (fractional)
Tl1 0.7660 0.0000 0.2916  5 Hg 3.22-3.34, 1 In 3.29
Tl2 0.0000 0.3333 0.6667  2 Tl 3.24, 6 Hg 3.49
Tl3 0.2340 0.2916 0.2916  5 Hg 3.22-3.34, 1 In 3.29
Tl4 0.5000 0.3333 0.6667  2 Tl 3.24, 6 Hg 3.42
Tl5 0.5000 0.6667 0.3333  2 Tl 3.24, 6 Hg 3.42
Tl6 0.2340 0.7084 0.0000  5 Hg 3.22-3.34, 1 In 3.29
Tl7 0.2340 0.0000 0.7084  5 Hg 3.22-3.34, 1 In 3.29
Tl8 0.7660 0.2916 0.0000  5 Hg 3.22-3.34, 1 In 3.29
Tl9 0.7660 0.7084 0.7084  5 Hg 3.22-3.34, 1 In 3.29
Tl10 0.0000 0.6667 0.3333  2 Tl 3.24, 6 Hg 3.49
Hg1 0.2619 0.0000 0.3664  9 Tl 3.22-3.49
Hg2 0.7381 0.3664 0.3664  9 Tl 3.22-3.49
Hg3 0.2619 0.6336 0.6336  9 Tl 3.22-3.49
Hg4 0.7381 0.0000 0.6336  9 Tl 3.22-3.49
Hg5 0.2619 0.3664 0.0000  9 Tl 3.22-3.49
Hg6 0.7381 0.6336 0.0000  9 Tl 3.22-3.49
In1 0.5000 0.0000 0.0000  6 Tl 3.29

---

Compound: Li4SI2
Source: Alexandria
Functional: PBE
Structure: relaxed

## Properties
For the spin magnetization, the calculation gives 0.00 μB/f.u. Its raw formation energy is -1.1947 eV/atom. For the uncorrected energy, the calculation gives -3.32 eV per atom.

a b c (Å): 4.7024 4.7024 8.2509
angles (deg): 73.44 73.44 90.00
Last column: nearest neighbours and their distance in Å.
Element x y z (fractional)
S1 0.0000 0.0000 0.0000  6 Li 2.35-2.39
I1 0.6550 0.6550 0.6899  1 Li 2.82
I2 0.3450 0.3450 0.3101  1 Li 2.82
Li1 0.8416 0.8416 0.3167  1 S 2.39
Li2 0.0000 0.5000 0.0000  2 S 2.35
Li3 0.1584 0.1584 0.6833  1 S 2.39
Li4 0.5000 0.0000 0.0000  2 S 2.35

---

Compound: CaTl2HPb
Source: Alexandria
Functional: PBE
Structure: relaxed

## Properties
For the spin magnetization, the calculation gives 0.00 μB/f.u. For the uncorrected energy, the calculation gives -2.89 eV per atom.

a b c (Å): 5.0869 5.0869 4.7591
angles (deg): 90.00 90.00 90.00
Last column: nearest neighbours and their distance in Å.
Element x y z (fractional)
Ca1 0.0000 0.0000 0.5000  2 H 2.38
Tl1 0.0000 0.5000 0.0000  2 H 2.54
Tl2 0.5000 0.0000 0.0000  2 H 2.54
H1 0.0000 0.0000 0.0000  2 Ca 2.38, 4 Tl 2.54
Pb1 0.5000 0.5000 0.5000  8 Tl 3.48, 4 Ca 3.60

---

Compound: CsLaP2S8
Source: Alexandria
Functional: PBE
Structure: relaxed

## Properties
For the spin magnetization, the calculation gives 2.01 μB/f.u. Its raw formation energy is -0.6346 eV/atom. For the uncorrected energy, the calculation gives -4.77 eV per atom.

a b c (Å): 6.3122 6.3122 10.1025
angles (deg): 90.00 90.00 120.00
Last column: nearest neighbours and their distance in Å.
Element x y z (fractional)
S1 0.3810 0.3790 0.3317  1 P 2.05
S2 0.0020 0.3810 0.6683  1 P 2.05
S3 0.6210 0.0020 0.3317  1 P 2.05
S4 0.3790 0.9980 0.6683  1 P 2.05
S5 0.9980 0.6190 0.3317  1 P 2.05
S6 0.6190 0.6210 0.6683  1 P 2.05
S7 0.6667 0.3333 0.0729  1 P 2.03
S8 0.3333 0.6667 0.9271  1 P 2.03
P1 0.6667 0.3333 0.2736  4 S 2.03-2.05
P2 0.3333 0.6667 0.7264  4 S 2.03-2.05
Cs1 0.0000 0.0000 0.0000  12 S 3.72-4.12
La1 0.0000 0.0000 0.5000  6 S 2.94

---

Compound: PmRe2SiC
Source: Alexandria
Functional: PBE
Structure: relaxed

## Properties
For the spin magnetization, the calculation gives 0.00 μB/f.u. Its raw formation energy is -0.4490 eV/atom. For the uncorrected energy, the calculation gives -9.31 eV per atom.

a b c (Å): 4.0073 5.8220 7.3668
angles (deg): 90.00 90.00 110.13
Last column: nearest neighbours and their distance in Å.
Element x y z (fractional)
Re1 0.1748 0.3495 0.5608  1 C 1.96
Re2 0.8252 0.6505 0.4392  1 C 1.96
Re3 0.1748 0.3495 0.9392  1 C 1.96
Re4 0.8252 0.6505 0.0608  1 C 1.96
Pm1 0.5429 0.0858 0.2500  4 C 2.76, 1 Si 3.03
Pm2 0.4571 0.9142 0.7500  4 C 2.76, 1 Si 3.03
Si1 0.7345 0.4690 0.7500  6 Re 2.50-2.53
Si2 0.2655 0.5310 0.2500  6 Re 2.50-2.53
C1 0.0000 0.0000 0.5000  2 Re 1.96
C2 0.0000 0.0000 0.0000  2 Re 1.96

---

Compound: Pm2Y4Er
Source: Alexandria
Functional: PBE
Structure: relaxed

## Properties
The value obtained for the formation energy is 0.04 eV per atom. For the spin magnetization, the calculation gives 0.00 μB/f.u. For the uncorrected energy, the calculation gives -5.66 eV per atom. The energy above the most stable polymorph in this dataset is 0.000 eV per formula unit.

a b c (Å): 3.5710 8.7936 8.6537
angles (deg): 119.33 101.88 90.03
Last column: nearest neighbours and their distance in Å.
Element x y z (fractional)
Y1 0.3557 0.1562 0.7122  7 Y 3.55-3.79, 4 Pm 3.65-3.66, 2 Er 3.79
Y2 0.7028 0.2922 0.4073  3 Pm 3.36-3.55, 5 Y 3.55-3.64, 2 Er 3.58
Y3 0.2972 0.7078 0.5927  3 Pm 3.36-3.55, 5 Y 3.55-3.64, 2 Er 3.58
Y4 0.6443 0.8438 0.2878  7 Y 3.55-3.79, 4 Pm 3.65-3.66, 2 Er 3.79
Er1 0.0000 0.0000 0.0000  2 Pm 3.37, 2 Er 3.57, 4 Y 3.58
Pm1 0.9311 0.5680 0.8601  1 Pm 3.14, 1 Y 3.36, 1 Er 3.37
Pm2 0.0689 0.4320 0.1399  1 Pm 3.14, 1 Y 3.36, 1 Er 3.37

---

Compound: Sc4Tl
Source: Alexandria
Functional: PBE
Structure: relaxed

## Properties
The value obtained for the formation energy is -0.09 eV per atom. For the spin magnetization, the calculation gives 0.94 μB/f.u. For the uncorrected energy, the calculation gives -5.62 eV per atom. The energy above the most stable polymorph in this dataset is 0.086 eV per formula unit.

a b c (Å): 4.8862 6.2864 8.6035
angles (deg): 111.43 106.50 90.00
Last column: nearest neighbours and their distance in Å.
Element x y z (fractional)
Tl1 0.8905 0.1405 0.7810  13 Sc 3.14-3.36
Tl2 0.1095 0.8595 0.2190  13 Sc 3.14-3.36
Sc1 0.8929 0.6429 0.7858  3 Tl 3.14-3.30, 10 Sc 3.20-3.37
Sc2 0.5000 0.5000 0.0000  8 Sc 3.00-3.33, 4 Tl 3.35
Sc3 0.6966 0.6929 0.3932  7 Sc 2.94-3.20, 2 Tl 3.21
Sc4 0.3034 0.3071 0.6068  7 Sc 2.94-3.20, 2 Tl 3.21
Sc5 0.1071 0.3571 0.2142  3 Tl 3.14-3.30, 10 Sc 3.20-3.37
Sc6 0.3034 0.7997 0.6068  7 Sc 2.94-3.20, 2 Tl 3.21
Sc7 0.6966 0.2003 0.3932  7 Sc 2.94-3.20, 2 Tl 3.21
Sc8 0.5000 0.0000 0.0000  8 Sc 3.00-3.33, 4 Tl 3.35

---

Q: Among the records above, which one has the lowest uncorrected energy?
A: PmRe2SiC

---

Q: Which value of uncorrected energy does entry 11 give?
A: -5.66 eV per atom

---

Q: Which formula does entry 6 have?
A: Tl10InHg6

---

Q: Among the records above, which one has the lowest uncorrected energy?
A: PmRe2SiC